Material: RePd
Method: DFT, GGA-PBE
State: optimized geometry

Fermi-level density of states, states/eV/atom: 1.60
Relative energy among the computed polymorphs, meV/atom: 1014

Lattice parameters (Å, degrees): 5.140 5.140 5.227 90.00 90.00 90.00
Space group P4_2/mnm (No. 136)
Asymmetric unit:
Re1 0.163 0.163 0.000
Pd1 0.178 0.178 0.500

Material: Ac2ScTe2O2
Method: DFT, GGA-PBE
State: optimized geometry

Fermi-level density of states, states/eV/atom: 0.61
Uncorrected formation energy, eV per atom: -2.3075

Lattice parameters (Å, degrees): 4.384 4.384 17.145 90.00 90.00 90.00
Space group I4/mmm (No. 139)
Asymmetric unit:
Ac1 0.000 0.000 0.109
Sc1 0.000 0.000 0.500
Te1 0.000 0.000 0.321
O1 0.000 0.500 0.000

Results for spin magnetization: 0.00, 1.11 (in μB per cell, following the order of the records).
Results for electronic total energy: -7.74, -6.70 (in eV per atom, following the order of the records).